A relaxed Mn2CoBr crystal. Source: Alexandria, functional GGA-PBE.

a b c (Å): 3.1865 3.1865 22.6581
angles (deg): 90.00 90.00 120.00
Space group R-3m (No. 166, hexagonal axes)
Unique sites:
Mn 0.0000 0.0000 0.2421 (multiplicity 6)
Co 0.0000 0.0000 0.5000 (multiplicity 3)
Br 0.0000 0.0000 0.0000 (multiplicity 3)

## Properties
crystal system = trigonal
E_form (uncorrected) = 0.34 eV per atom
polymorph energy (0 for the lowest one) = 0.118 eV/atom
magnetization = 2.366 μB/atom